Record 1
# TbZnNiHg PBE relaxed
# Energy relative to the elements ... -0.87 eV per formula unit
# Fermi-level density of states ... 0.96 states/eV per atom
data_TbZnNiHg
_chemical_formula_sum 'Tb1 Zn1 Ni1 Hg1'
_space_group_name_H-M_alt 'P 1'
_space_group_IT_number 1
_space_group_name_Hall 'P 1'
_cell_length_a 4.720
_cell_length_b 4.720
_cell_length_c 4.720
_cell_angle_alpha 60.00
_cell_angle_beta 60.00
_cell_angle_gamma 60.00
loop_
_atom_site_label
_atom_site_fract_x
_atom_site_fract_y
_atom_site_fract_z
Tb1 0.000 0.000 0.000
Zn1 0.250 0.250 0.250
Ni1 0.750 0.750 0.750
Hg1 0.500 0.500 0.500

=====

Record 2
# TcNiHg3 PBE relaxed
# Energy relative to the elements ... 4.96 eV per formula unit
# Energy relative to the lowest polymorph listed for this composition ... 0.000 eV/atom
# Fermi-level density of states ... 1.14 states/eV per atom
data_TcNiHg3
_chemical_formula_sum 'Tc1 Ni1 Hg3'
_space_group_name_H-M_alt 'P 1'
_space_group_IT_number 1
_space_group_name_Hall 'P 1'
_cell_length_a 4.915
_cell_length_b 4.915
_cell_length_c 4.915
_cell_angle_alpha 90.00
_cell_angle_beta 90.00
_cell_angle_gamma 90.00
loop_
_atom_site_label
_atom_site_fract_x
_atom_site_fract_y
_atom_site_fract_z
Tc1 0.000 0.000 0.000
Ni1 0.500 0.500 0.500
Hg1 0.000 0.500 0.500
Hg2 0.500 0.000 0.500
Hg3 0.500 0.500 0.000

=====

Record 3
# Tc2NiHg PBE relaxed
# Energy relative to the elements ... 1.04 eV per formula unit
# Fermi-level density of states ... 1.14 states/eV per atom
data_Tc2NiHg
_chemical_formula_sum 'Tc2 Ni1 Hg1'
_space_group_name_H-M_alt 'P 1'
_space_group_IT_number 1
_space_group_name_Hall 'P 1'
_cell_length_a 2.838
_cell_length_b 2.838
_cell_length_c 7.604
_cell_angle_alpha 90.00
_cell_angle_beta 90.00
_cell_angle_gamma 90.00
loop_
_atom_site_label
_atom_site_fract_x
_atom_site_fract_y
_atom_site_fract_z
Tc1 0.000 0.000 0.000
Tc2 0.500 0.500 0.221
Ni1 0.500 0.500 0.773
Hg1 0.000 0.000 0.517